# 1
A plane-wave DFT calculation with GGA-PBE was carried out for an optimized crystal structure of TaAlPt2.

Final energy in eV per atom: -7.546

a = 4.8675 Å, b = 4.8675 Å, c = 2.8208 Å
α = 90.00°, β = 90.00°, γ = 108.43°
Last column: nearest neighbours and their distance in Å.
Positions (direct):
Pt (0.0000, 0.0000, 0.0000)  4 Ta 2.81, 4 Al 2.81, 4 Pt 2.82-2.85
Pt (0.5000, 0.5000, 0.0000)  4 Al 2.81, 4 Ta 2.81, 4 Pt 2.82-2.85
Al (0.0000, 0.5000, 0.5000)  8 Pt 2.81, 2 Al 2.82, 2 Ta 2.85
Ta (0.5000, 0.0000, 0.5000)  8 Pt 2.81, 2 Ta 2.82, 2 Al 2.85

***

# 2
A plane-wave DFT calculation with GGA-PBE was carried out for an optimized crystal structure of PmCoPt.

Final energy in eV per atom: -6.566

a = 4.0030 Å, b = 4.1669 Å, c = 4.1669 Å
α = 120.00°, β = 90.00°, γ = 90.00°
Last column: nearest neighbours and their distance in Å.
Positions (direct):
Pm (0.6667, 0.3333, 0.6667)  6 Pt 3.13, 6 Co 3.13
Pt (0.1667, 0.0000, 0.0000)  3 Co 2.41
Co (0.1667, 0.6667, 0.3333)  3 Pt 2.41

***

# 3
A plane-wave DFT calculation with GGA-PBE was carried out for an optimized crystal structure of LiSc2Pd2.

Final energy in eV per atom: -5.424
Offset from the most stable computed form in kcal/mol of atoms: 5.29

a = 4.4769 Å, b = 4.4769 Å, c = 6.3461 Å
α = 69.35°, β = 69.35°, γ = 90.00°
Last column: nearest neighbours and their distance in Å.
Positions (direct):
Li (0.0000, 0.0000, 0.0000)  8 Pd 3.42, 8 Sc 3.55
Sc (0.2500, 0.7500, 0.5000)  4 Pd 2.67
Sc (0.7500, 0.2500, 0.5000)  4 Pd 2.67
Pd (0.6170, 0.6170, 0.7661)  1 Pd 2.57, 4 Sc 2.67
Pd (0.3830, 0.3830, 0.2339)  1 Pd 2.57, 4 Sc 2.67

***

# 4
A plane-wave DFT calculation with GGA-PBE was carried out for an optimized crystal structure of TaSnI2.

Formation energy without anion corrections in eV per atom: 0.38
Final energy in eV per atom: -4.362
Offset from the most stable computed form in kcal/mol of atoms: 0.00

a = 10.0020 Å, b = 10.0020 Å, c = 7.6039 Å
α = 48.88°, β = 48.88°, γ = 90.00°
Last column: nearest neighbours and their distance in Å.
Positions (direct):
I (0.8750, 0.0134, 0.7500)  2 Ta 2.83
I (0.3750, 0.2366, 0.7500)  2 Ta 2.83
I (0.9866, 0.6250, 0.2500)  2 Ta 2.83
I (0.7634, 0.1250, 0.2500)  2 Ta 2.83
Ta (0.7500, 0.2500, 0.5000)  2 Sn 2.79, 4 I 2.83
Ta (0.0000, 0.0000, 0.0000)  2 Sn 2.79, 4 I 2.83
Sn (0.5000, 0.5000, 0.0000)  2 Ta 2.79
Sn (0.2500, 0.7500, 0.5000)  2 Ta 2.79

***

# 5
A plane-wave DFT calculation with GGA-PBE was carried out for an optimized crystal structure of Be2NbSbPd.

Formation energy without anion corrections in eV per atom: 1.17
Final energy in eV per atom: -4.199

a = 4.5288 Å, b = 4.8864 Å, c = 4.5288 Å
α = 90.00°, β = 90.00°, γ = 90.00°
Last column: nearest neighbours and their distance in Å.
Positions (direct):
Sb (0.5000, 0.5000, 0.5000)  4 Pd 3.20, 8 Be 3.33
Be (0.0000, 0.0000, 0.5000)  2 Nb 2.26
Be (0.5000, 0.0000, 0.0000)  2 Nb 2.26
Nb (0.0000, 0.0000, 0.0000)  4 Be 2.26, 2 Pd 2.44
Pd (0.0000, 0.5000, 0.0000)  2 Nb 2.44

***

# 6
A plane-wave DFT calculation with GGA-PBE was carried out for an optimized crystal structure of Na2La2Bi.

Final energy in eV per atom: -3.409
Offset from the most stable computed form in kcal/mol of atoms: 0.00

a = 4.2297 Å, b = 4.2297 Å, c = 10.6100 Å
α = 78.50°, β = 78.50°, γ = 90.00°
Last column: nearest neighbours and their distance in Å.
Positions (direct):
La (0.4163, 0.4163, 0.1674)  1 La 3.41, 4 Bi 3.44
La (0.5837, 0.5837, 0.8326)  1 La 3.41, 4 Bi 3.44
Bi (0.0000, 0.0000, 0.0000)  8 La 3.44
Na (0.2500, 0.7500, 0.5000)  4 Na 2.99
Na (0.7500, 0.2500, 0.5000)  4 Na 2.99

***

# 7
A plane-wave DFT calculation with GGA-PBE was carried out for an optimized crystal structure of BeAlW2.

Final energy in eV per atom: -8.162

a = 3.9963 Å, b = 3.7813 Å, c = 3.7813 Å
α = 90.00°, β = 90.00°, γ = 90.00°
Last column: nearest neighbours and their distance in Å.
Positions (direct):
Al (0.5000, 0.5000, 0.0000)  4 Be 2.67, 8 W 2.75
Be (0.5000, 0.0000, 0.5000)  4 Al 2.67, 8 W 2.75
W (0.0000, 0.0000, 0.0000)  4 W 2.67, 4 Be 2.75, 4 Al 2.75
W (0.0000, 0.5000, 0.5000)  4 W 2.67, 4 Al 2.75, 4 Be 2.75

***

- Among the records above, which one has the lowest final energy?
  BeAlW2